The following is a DFT calculation (GGA-PBE) of crystalline BeFeAu2 at its relaxed geometry.

Output
Crystal system: tetragonal
M_tot: 2.9 μB/f.u.
Formation energy from the elements: 9.838 kcal/mol of atoms
Theoretical density: 11.8 Mg/m³

Lattice parameters (Å, degrees): 3.846 3.846 17.423 90.00 90.00 90.00
Space group I-42d (No. 122)
One atom of each set of equivalent atoms:
Be1 0.000 0.000 0.000 (multiplicity 4)
Fe1 0.000 0.000 0.500 (multiplicity 4)
Au1 0.242 0.250 0.125 (multiplicity 8)


The following is a DFT calculation (GGA-PBE) of crystalline PaVIr at its relaxed geometry.

Output
Crystal system: tetragonal
ΔE to the lowest computed polymorph: 0.023 eV per atom
M_tot: 0.0 μB/f.u.
Formation energy from the elements: -4.575 kcal/mol of atoms
Theoretical density: 14.3 Mg/m³

Lattice parameters (Å, degrees): 3.653 3.653 8.235 90.00 90.00 90.00
Space group I4mm (No. 107)
One atom of each set of equivalent atoms:
Pa1 0.000 0.000 0.000 (multiplicity 2)
V1 0.000 0.000 0.293 (multiplicity 2)
Ir1 0.000 0.000 0.667 (multiplicity 2)


The following is a DFT calculation (GGA-PBE) of crystalline PmWN3 at its relaxed geometry.

Output
Crystal system: monoclinic
M_tot: 0.0 μB/f.u.
Raw formation energy: -0.96 eV/atom
Theoretical density: 7.6 Mg/m³

Lattice parameters (Å, degrees): 11.105 9.820 6.374 90.00 110.52 90.00
Space group C2/c (No. 15)
One atom of each set of equivalent atoms:
Pm1 0.000 0.092 0.250 (multiplicity 4)
Pm2 0.000 0.301 0.750 (multiplicity 4)
W1 0.209 0.411 0.237 (multiplicity 8)
N1 0.113 0.111 0.655 (multiplicity 8)
N2 0.133 0.248 0.151 (multiplicity 8)
N3 0.147 0.494 0.459 (multiplicity 8)


The following is a DFT calculation (GGA-PBE) of crystalline Ce6IrPb3 at its relaxed geometry.

Output
Crystal system: monoclinic
M_tot: 5.1 μB/f.u.
Formation energy from the elements: -8.524 kcal/mol of atoms
Theoretical density: 9.2 Mg/m³

Lattice parameters (Å, degrees): 5.633 9.221 12.769 90.00 115.94 90.00
Space group P2_1/c (No. 14)
One atom of each set of equivalent atoms:
Ce1 0.043 0.146 0.047 (multiplicity 4)
Ce2 0.281 0.502 0.274 (multiplicity 4)
Ce3 0.453 0.177 0.454 (multiplicity 4)
Ir1 0.500 0.000 0.000 (multiplicity 2)
Pb1 0.000 0.000 0.500 (multiplicity 2)
Pb2 0.244 0.657 0.750 (multiplicity 4)


The following is a DFT calculation (GGA-PBE) of crystalline ZrAlSi2 at its relaxed geometry.

Output
Crystal system: tetragonal
M_tot: 0.0 μB/f.u.
Raw formation energy: -0.08 eV/atom
Theoretical density: 4.3 Mg/m³

Lattice parameters (Å, degrees): 2.870 2.870 8.119 90.00 90.00 90.00
Space group P4/mmm (No. 123)
One atom of each set of equivalent atoms:
Zr1 0.000 0.000 0.000 (multiplicity 1)
Al1 0.000 0.000 0.500 (multiplicity 1)
Si1 0.500 0.500 0.256 (multiplicity 2)


The following is a DFT calculation (GGA-PBE) of crystalline BaCd2Mo at its relaxed geometry.

Output
Crystal system: orthorhombic
ΔE to the lowest computed polymorph: 0.220 eV per atom
M_tot: 0.7 μB/f.u.
Formation energy from the elements: 15.637 kcal/mol of atoms
Theoretical density: 7.9 Mg/m³

Lattice parameters (Å, degrees): 6.700 9.198 3.142 90.00 90.00 90.00
Space group Cmmm (No. 65)
One atom of each set of equivalent atoms:
Ba1 0.000 0.000 0.000 (multiplicity 2)
Cd1 0.250 0.250 0.500 (multiplicity 4)
Mo1 0.000 0.500 0.000 (multiplicity 2)


Please write out number 3 again, unchanged.
The following is a DFT calculation (GGA-PBE) of crystalline PmWN3 at its relaxed geometry.

Output
Crystal system: monoclinic
M_tot: 0.0 μB/f.u.
Raw formation energy: -0.96 eV/atom
Theoretical density: 7.6 Mg/m³

Lattice parameters (Å, degrees): 11.105 9.820 6.374 90.00 110.52 90.00
Space group C2/c (No. 15)
One atom of each set of equivalent atoms:
Pm1 0.000 0.092 0.250 (multiplicity 4)
Pm2 0.000 0.301 0.750 (multiplicity 4)
W1 0.209 0.411 0.237 (multiplicity 8)
N1 0.113 0.111 0.655 (multiplicity 8)
N2 0.133 0.248 0.151 (multiplicity 8)
N3 0.147 0.494 0.459 (multiplicity 8)


Q: Which value of theoretical density does entry 6 give?
A: 7.9 Mg/m³